The following is a PBE-GGA calculation of a geometry-optimized Na3GaPb structure, from Alexandria via LeMat-Bulk.

Summary:
ΔE_f (kcal/mol of atoms): 0.00
Excess energy over the best structure of this formula in the dataset (eV/atom): 0.0000
Crystal system: monoclinic

Unit cell a=7.5136 b=7.5136 c=7.3371 alpha=118.84 beta=118.84 gamma=80.70
With the nearest neighbours (Å) after each atom.
Atoms (fractional coordinates):
Na: 0.0615 0.0615 0.3313  1 Ga 2.91, 1 Pb 3.24
Na: 0.0793 0.4875 0.2591  2 Ga 3.04-3.14, 1 Pb 3.33
Na: 0.4875 0.0793 0.2591  2 Ga 3.04-3.14, 1 Pb 3.33
Na: 0.5125 0.9207 0.7409  2 Ga 3.04-3.14, 1 Pb 3.33
Na: 0.9207 0.5125 0.7409  2 Ga 3.04-3.14, 1 Pb 3.33
Na: 0.9385 0.9385 0.6687  1 Ga 2.91, 1 Pb 3.24
Ga: 0.2597 0.2597 0.9055  2 Pb 2.82-2.96, 5 Na 2.91-3.14
Ga: 0.7403 0.7403 0.0945  2 Pb 2.82-2.96, 5 Na 2.91-3.14
Pb: 0.4265 0.4265 0.7215  2 Ga 2.82-2.96
Pb: 0.5735 0.5735 0.2785  2 Ga 2.82-2.96

The following is a PBE-GGA calculation of a geometry-optimized NaGaPb3 structure, from Alexandria via LeMat-Bulk.

Summary:
ΔE_f (kcal/mol of atoms): -0.33
Excess energy over the best structure of this formula in the dataset (eV/atom): 0.0000
Crystal system: orthorhombic

Unit cell a=9.2430 b=9.2430 c=5.7186 alpha=90.00 beta=90.00 gamma=144.72
With the nearest neighbours (Å) after each atom.
Atoms (fractional coordinates):
Na: 0.1513 0.8487 0.5000  9 Pb 3.24-3.63, 1 Ga 3.38
Na: 0.8487 0.1513 0.0000  9 Pb 3.24-3.63, 1 Ga 3.38
Ga: 0.3426 0.6574 0.4518  7 Pb 3.16-3.38, 1 Na 3.38
Ga: 0.6574 0.3426 0.9518  7 Pb 3.16-3.38, 1 Na 3.38
Pb: 0.0548 0.9452 0.0054  3 Na 3.30-3.63, 2 Ga 3.35, 7 Pb 3.42-3.61
Pb: 0.2526 0.7474 0.9736  4 Ga 3.16-3.38, 4 Na 3.24-3.50, 2 Pb 3.47-3.49
Pb: 0.4483 0.5517 0.9037  1 Ga 3.19, 2 Na 3.35, 5 Pb 3.39-3.47
Pb: 0.5517 0.4483 0.4037  1 Ga 3.19, 2 Na 3.35, 5 Pb 3.39-3.47
Pb: 0.7474 0.2526 0.4736  4 Ga 3.16-3.38, 4 Na 3.24-3.50, 2 Pb 3.47-3.49
Pb: 0.9452 0.0548 0.5054  3 Na 3.30-3.63, 2 Ga 3.35, 7 Pb 3.42-3.61

The following is a PBE-GGA calculation of a geometry-optimized NaGaPb3 structure, from Alexandria via LeMat-Bulk.

Summary:
ΔE_f (kcal/mol of atoms): -0.12
Excess energy over the best structure of this formula in the dataset (eV/atom): 0.0092
Crystal system: monoclinic

Unit cell a=5.7588 b=6.6741 c=8.0222 alpha=90.00 beta=108.21 gamma=90.00
With the nearest neighbours (Å) after each atom.
Atoms (fractional coordinates):
Na: 0.1216 0.2500 0.3802  4 Ga 3.15-3.46, 3 Pb 3.45-3.51
Na: 0.8784 0.7500 0.6198  4 Ga 3.15-3.46, 3 Pb 3.45-3.51
Ga: 0.2883 0.7500 0.4358  5 Pb 2.95-3.13, 2 Na 3.15-3.25
Ga: 0.7117 0.2500 0.5642  5 Pb 2.95-3.13, 2 Na 3.15-3.25
Pb: 0.0261 0.2500 0.9339  1 Ga 2.95
Pb: 0.4405 0.0008 0.7768  2 Ga 3.09-3.13, 4 Pb 3.33-3.45
Pb: 0.4405 0.4992 0.7768  2 Ga 3.09-3.13, 4 Pb 3.33-3.45
Pb: 0.5595 0.5008 0.2232  2 Ga 3.09-3.13, 4 Pb 3.33-3.45
Pb: 0.5595 0.9992 0.2232  2 Ga 3.09-3.13, 4 Pb 3.33-3.45
Pb: 0.9739 0.7500 0.0661  1 Ga 2.95

The following is a PBE-GGA calculation of a geometry-optimized Na6GaPb2 structure, from Alexandria via LeMat-Bulk.

Summary:
ΔE_f (kcal/mol of atoms): -2.58
Crystal system: trigonal

Unit cell a=10.7749 b=10.7749 c=10.7749 alpha=29.76 beta=29.76 gamma=29.76
With the nearest neighbours (Å) after each atom.
Atoms (fractional coordinates):
Na: 0.0773 0.0773 0.0773  3 Pb 3.20, 3 Na 3.55
Na: 0.1981 0.1981 0.1981  3 Ga 3.34, 8 Na 3.34-3.74, 3 Pb 3.65
Na: 0.3064 0.3064 0.3064  4 Pb 3.24-3.56, 7 Na 3.34-3.60
Na: 0.6936 0.6936 0.6936  4 Pb 3.24-3.56, 7 Na 3.34-3.60
Na: 0.8019 0.8019 0.8019  3 Ga 3.34, 8 Na 3.34-3.74, 3 Pb 3.65
Na: 0.9227 0.9227 0.9227  3 Pb 3.20, 3 Na 3.55
Ga: 0.5000 0.5000 0.5000  2 Pb 2.74
Pb: 0.4114 0.4114 0.4114  1 Ga 2.74
Pb: 0.5886 0.5886 0.5886  1 Ga 2.74

The following is a PBE-GGA calculation of a geometry-optimized NaGa2Pb2 structure, from Alexandria via LeMat-Bulk.

Summary:
ΔE_f (kcal/mol of atoms): -0.08
Excess energy over the best structure of this formula in the dataset (eV/atom): 0.0088
Crystal system: tetragonal

Unit cell a=8.3383 b=8.3383 c=3.7944 alpha=90.00 beta=90.00 gamma=90.00
With the nearest neighbours (Å) after each atom.
Atoms (fractional coordinates):
Na: 0.0000 0.0000 0.0000  4 Ga 3.33, 8 Pb 3.60
Na: 0.5000 0.5000 0.0000  4 Ga 3.33, 8 Pb 3.60
Ga: 0.1179 0.3821 0.0000  1 Ga 2.78, 2 Pb 3.05
Ga: 0.3821 0.8821 0.0000  1 Ga 2.78, 2 Pb 3.05
Ga: 0.6179 0.1179 0.0000  1 Ga 2.78, 2 Pb 3.05
Ga: 0.8821 0.6179 0.0000  1 Ga 2.78, 2 Pb 3.05
Pb: 0.1793 0.6793 0.5000  6 Ga 3.05-3.16
Pb: 0.3207 0.1793 0.5000  6 Ga 3.05-3.16
Pb: 0.6793 0.8207 0.5000  6 Ga 3.05-3.16
Pb: 0.8207 0.3207 0.5000  6 Ga 3.05-3.16

The following is a PBE-GGA calculation of a geometry-optimized Na2GaPb structure, from Alexandria via LeMat-Bulk.

Summary:
ΔE_f (kcal/mol of atoms): 1.88
Excess energy over the best structure of this formula in the dataset (eV/atom): 0.1770
Crystal system: tetragonal

Unit cell a=6.8361 b=6.8361 c=6.8361 alpha=101.47 beta=101.47 gamma=127.03
With the nearest neighbours (Å) after each atom.
Atoms (fractional coordinates):
Na: 0.1045 0.6250 0.9795  2 Ga 3.03, 2 Na 3.07, 2 Pb 3.28
Na: 0.3750 0.3545 0.4795  2 Ga 3.03, 2 Na 3.07, 2 Pb 3.28
Na: 0.6455 0.1250 0.0205  2 Ga 3.03, 2 Na 3.07, 2 Pb 3.28
Na: 0.8750 0.8955 0.5205  2 Ga 3.03, 2 Na 3.07, 2 Pb 3.28
Ga: 0.0000 0.0000 0.0000  4 Na 3.03, 2 Pb 3.05
Ga: 0.7500 0.2500 0.5000  4 Na 3.03, 2 Pb 3.05
Pb: 0.2500 0.7500 0.5000  2 Ga 3.05, 4 Na 3.28
Pb: 0.5000 0.5000 0.0000  2 Ga 3.05, 4 Na 3.28